1.
A geometry-optimized RbCaV2Pd structure. Source: Alexandria via LeMat-Bulk, functional PBE-GGA.

Values from the calculation:
* ρ: 3.29 g/cm³
* DFT total energy: -3.7978 eV per atom
* total moment: 8.9 μB/cell
* excess energy over the best structure of this formula in the dataset: 0 meV/atom

a b c (Å): 5.6903 5.2114 5.6903
angles (deg): 90.00 90.00 90.00
Last column: nearest neighbours and their distance in Å.
Fractional positions:
1 V 0.0000 0.0000 0.5000  2 Ca 2.85
2 Ca 0.0000 0.0000 0.0000  2 Pd 2.61, 4 V 2.85
3 V 0.5000 0.0000 0.0000  2 Ca 2.85
4 Rb 0.5000 0.5000 0.5000  8 V 3.86, 4 Pd 4.02
5 Pd 0.0000 0.5000 0.0000  2 Ca 2.61



2.
A geometry-optimized Ac4NdIn3 structure. Source: Alexandria via LeMat-Bulk, functional PBE-GGA.

Values from the calculation:
* ρ: 8.15 g/cm³
* DFT total energy: -3.9380 eV per atom
* total moment: 0.0 μB/cell

a b c (Å): 5.8200 8.4039 11.6435
angles (deg): 90.00 90.00 90.00
Last column: nearest neighbours and their distance in Å.
Fractional positions:
1 Ac 0.5000 0.7597 0.5000  6 In 3.54-3.64, 2 Nd 3.64
2 In 0.5032 0.5000 0.7500  8 Ac 3.63-3.64
3 Ac 0.9976 0.7597 0.2500  6 In 3.54-3.64, 2 Nd 3.64
4 Nd 0.0000 0.5000 0.5000  8 Ac 3.64
5 In 0.0000 0.0000 0.0000  8 Ac 3.54
6 Ac 0.5000 0.7597 0.0000  6 In 3.54-3.64, 2 Nd 3.64
7 Ac 0.9976 0.2403 0.2500  6 In 3.54-3.64, 2 Nd 3.64
8 Nd 0.0000 0.5000 0.0000  8 Ac 3.64
9 Ac 0.5000 0.2403 0.0000  6 In 3.54-3.64, 2 Nd 3.64
10 In 0.4968 0.5000 0.2500  8 Ac 3.63-3.64
11 In 0.0000 0.0000 0.5000  8 Ac 3.54
12 Ac 0.0024 0.7597 0.7500  6 In 3.54-3.64, 2 Nd 3.64
13 In 0.4970 0.0000 0.2500  8 Ac 3.54-3.55
14 Ac 0.5000 0.2403 0.5000  6 In 3.54-3.64, 2 Nd 3.64
15 Ac 0.0024 0.2403 0.7500  6 In 3.54-3.64, 2 Nd 3.64
16 In 0.5030 0.0000 0.7500  8 Ac 3.54-3.55